1.
A plane-wave DFT calculation with PBE was carried out for crystalline Tm7SnRu4 at its relaxed geometry.

Results
As for the calculated total energy: -6.189 eV per atom. Its magnetic moment is 0.00 μB per formula unit. Its space group is C2/m, No. 12.

a b c (Å): 7.230 7.230 9.520
angles (deg): 123.00 123.00 44.13
Sites, in units of the cell vectors:
1 Tm 0.000 0.000 0.000
2 Tm 0.181 0.181 0.632
3 Tm 0.286 0.286 0.123
4 Tm 0.426 0.426 0.627
5 Tm 0.574 0.574 0.373
6 Tm 0.714 0.714 0.877
7 Tm 0.819 0.819 0.368
8 Sn 0.500 0.500 0.000
9 Ru 0.065 0.065 0.776
10 Ru 0.199 0.199 0.351
11 Ru 0.801 0.801 0.649
12 Ru 0.935 0.935 0.224



2.
A plane-wave DFT calculation with PBE was carried out for crystalline Tm2SnRu at its relaxed geometry.

Results
The value obtained for the energy relative to the lowest polymorph listed for this composition is 131.6 meV/atom. Its magnetic moment is 0.00 μB per formula unit. Its space group is P4/mmm, No. 123.

a b c (Å): 4.818 4.818 3.785
angles (deg): 90.00 90.00 90.00
Sites, in units of the cell vectors:
1 Tm 0.000 0.500 0.000
2 Tm 0.500 0.000 0.000
3 Sn 0.000 0.000 0.500
4 Ru 0.500 0.500 0.500



3.
A plane-wave DFT calculation with PBE was carried out for crystalline Tm5SnRu at its relaxed geometry.

Results
As for the calculated total energy: -5.312 eV per atom. Its magnetic moment is 0.00 μB per formula unit. Its space group is C2/c, No. 15.

a b c (Å): 6.320 6.320 11.136
angles (deg): 105.25 105.25 65.16
Sites, in units of the cell vectors:
1 Tm 0.030 0.970 0.750
2 Tm 0.032 0.405 0.639
3 Tm 0.213 0.541 0.957
4 Tm 0.405 0.032 0.139
5 Tm 0.459 0.787 0.543
6 Tm 0.541 0.213 0.457
7 Tm 0.595 0.968 0.861
8 Tm 0.787 0.459 0.043
9 Tm 0.968 0.595 0.361
10 Tm 0.970 0.030 0.250
11 Sn 0.466 0.534 0.250
12 Sn 0.534 0.466 0.750
13 Ru 0.000 0.000 0.000
14 Ru 0.000 0.000 0.500



4.
A plane-wave DFT calculation with PBE was carried out for crystalline Tm7Sn2Ru2 at its relaxed geometry.

Results
As for the calculated total energy: -5.614 eV per atom. Its magnetic moment is 0.00 μB per formula unit. Its space group is Cmmm, No. 65.

a b c (Å): 6.668 6.668 7.115
angles (deg): 90.00 90.00 106.03
Sites, in units of the cell vectors:
1 Tm 0.000 0.000 0.000
2 Tm 0.000 0.500 0.246
3 Tm 0.000 0.500 0.754
4 Tm 0.500 0.000 0.246
5 Tm 0.500 0.000 0.754
6 Tm 0.500 0.500 0.232
7 Tm 0.500 0.500 0.768
8 Sn 0.184 0.184 0.500
9 Sn 0.816 0.816 0.500
10 Ru 0.289 0.711 0.000
11 Ru 0.711 0.289 0.000



5.
A plane-wave DFT calculation with PBE was carried out for crystalline Tm6SnRu5 at its relaxed geometry.

Results
As for the calculated total energy: -6.904 eV per atom. Its magnetic moment is 0.00 μB per formula unit. Its space group is P2/m, No. 10.

a b c (Å): 4.787 6.914 7.589
angles (deg): 90.00 108.30 90.00
Sites, in units of the cell vectors:
1 Tm 0.000 0.230 0.000
2 Tm 0.000 0.770 0.000
3 Tm 0.327 0.243 0.653
4 Tm 0.327 0.757 0.653
5 Tm 0.673 0.243 0.347
6 Tm 0.673 0.757 0.347
7 Sn 0.500 0.500 0.000
8 Ru 0.163 0.500 0.326
9 Ru 0.167 0.000 0.333
10 Ru 0.500 0.000 0.000
11 Ru 0.833 0.000 0.667
12 Ru 0.837 0.500 0.674



6.
A plane-wave DFT calculation with PBE was carried out for crystalline Tm6Sn3Ru at its relaxed geometry.

Results
As for the calculated total energy: -5.278 eV per atom. Its magnetic moment is 0.00 μB per formula unit. Its space group is P2_1/c, No. 14.

a b c (Å): 5.987 8.591 11.974
angles (deg): 90.00 117.91 90.00
Sites, in units of the cell vectors:
1 Tm 0.057 0.157 0.441
2 Tm 0.057 0.343 0.941
3 Tm 0.341 0.700 0.436
4 Tm 0.341 0.800 0.936
5 Tm 0.401 0.051 0.267
6 Tm 0.401 0.449 0.767
7 Tm 0.599 0.551 0.233
8 Tm 0.599 0.949 0.733
9 Tm 0.659 0.200 0.064
10 Tm 0.659 0.300 0.564
11 Tm 0.943 0.657 0.059
12 Tm 0.943 0.843 0.559
13 Sn 0.000 0.000 0.000
14 Sn 0.000 0.500 0.500
15 Sn 0.158 0.111 0.764
16 Sn 0.158 0.389 0.264
17 Sn 0.842 0.611 0.736
18 Sn 0.842 0.889 0.236
19 Ru 0.500 0.000 0.500
20 Ru 0.500 0.500 0.000



7.
A plane-wave DFT calculation with PBE was carried out for crystalline Tm8Sn2Ru at its relaxed geometry.

Results
As for the calculated total energy: -5.199 eV per atom. Its magnetic moment is 0.00 μB per formula unit. Its space group is C2/m, No. 12.

a b c (Å): 9.823 9.823 6.540
angles (deg): 105.36 105.36 29.21
Sites, in units of the cell vectors:
1 Tm 0.021 0.021 0.287
2 Tm 0.218 0.218 0.819
3 Tm 0.356 0.356 0.501
4 Tm 0.412 0.412 0.044
5 Tm 0.588 0.588 0.956
6 Tm 0.644 0.644 0.499
7 Tm 0.782 0.782 0.181
8 Tm 0.979 0.979 0.713
9 Sn 0.182 0.182 0.256
10 Sn 0.818 0.818 0.744
11 Ru 0.500 0.500 0.500



8.
A plane-wave DFT calculation with PBE was carried out for crystalline Tm4Sn5Ru3 at its relaxed geometry.

Results
As for the calculated total energy: -5.920 eV per atom. Its magnetic moment is 0.00 μB per formula unit. Its space group is C2/m, No. 12.

a b c (Å): 8.476 8.476 7.198
angles (deg): 107.30 107.30 33.16
Sites, in units of the cell vectors:
1 Tm 0.108 0.108 0.438
2 Tm 0.173 0.173 0.948
3 Tm 0.827 0.827 0.052
4 Tm 0.892 0.892 0.562
5 Sn 0.000 0.000 0.000
6 Sn 0.319 0.319 0.749
7 Sn 0.433 0.433 0.307
8 Sn 0.567 0.567 0.693
9 Sn 0.681 0.681 0.251
10 Ru 0.272 0.272 0.351
11 Ru 0.500 0.500 0.000
12 Ru 0.728 0.728 0.649



9.
A plane-wave DFT calculation with PBE was carried out for crystalline Tm12Sn6Ru at its relaxed geometry.

Results
As for the calculated total energy: -4.949 eV per atom. Its magnetic moment is 0.00 μB per formula unit. Its space group is R-3, No. 148.

a b c (Å): 8.496 8.496 8.496
angles (deg): 99.65 99.65 99.65
Sites, in units of the cell vectors:
1 Tm 0.016 0.687 0.944
2 Tm 0.056 0.984 0.313
3 Tm 0.197 0.423 0.555
4 Tm 0.313 0.056 0.984
5 Tm 0.423 0.555 0.197
6 Tm 0.445 0.803 0.577
7 Tm 0.555 0.197 0.423
8 Tm 0.577 0.445 0.803
9 Tm 0.687 0.944 0.016
10 Tm 0.803 0.577 0.445
11 Tm 0.944 0.016 0.687
12 Tm 0.984 0.313 0.056
13 Sn 0.122 0.641 0.312
14 Sn 0.312 0.122 0.641
15 Sn 0.359 0.688 0.878
16 Sn 0.641 0.312 0.122
17 Sn 0.688 0.878 0.359
18 Sn 0.878 0.359 0.688
19 Ru 0.000 0.000 0.000



10.
A plane-wave DFT calculation with PBE was carried out for crystalline TmSn4Ru at its relaxed geometry.

Results
As for the calculated total energy: -5.290 eV per atom. Its magnetic moment is 0.00 μB per formula unit. Its space group is I4/mcm, No. 140.

a b c (Å): 7.867 7.867 7.867
angles (deg): 129.21 129.21 74.68
Sites, in units of the cell vectors:
1 Tm 0.000 0.000 0.000
2 Tm 0.500 0.500 0.000
3 Sn 0.009 0.509 0.815
4 Sn 0.194 0.009 0.500
5 Sn 0.306 0.806 0.815
6 Sn 0.491 0.306 0.500
7 Sn 0.509 0.694 0.500
8 Sn 0.694 0.194 0.185
9 Sn 0.806 0.991 0.500
10 Sn 0.991 0.491 0.185
11 Ru 0.250 0.250 0.000
12 Ru 0.750 0.750 0.000



11.
A plane-wave DFT calculation with PBE was carried out for crystalline Tm3Sn3Ru2 at its relaxed geometry.

Results
As for the calculated total energy: -6.029 eV per atom. Its magnetic moment is 0.00 μB per formula unit. Its space group is Pnma, No. 62.

a b c (Å): 8.315 15.016 5.821
angles (deg): 90.00 90.00 90.00
Sites, in units of the cell vectors:
1 Tm 0.034 0.112 0.099
2 Tm 0.034 0.388 0.099
3 Tm 0.174 0.250 0.634
4 Tm 0.326 0.750 0.134
5 Tm 0.466 0.612 0.599
6 Tm 0.466 0.888 0.599
7 Tm 0.534 0.112 0.401
8 Tm 0.534 0.388 0.401
9 Tm 0.674 0.250 0.866
10 Tm 0.826 0.750 0.366
11 Tm 0.966 0.612 0.901
12 Tm 0.966 0.888 0.901
13 Sn 0.175 0.750 0.637
14 Sn 0.181 0.034 0.597
15 Sn 0.181 0.466 0.597
16 Sn 0.319 0.534 0.097
17 Sn 0.319 0.966 0.097
18 Sn 0.325 0.250 0.137
19 Sn 0.675 0.750 0.863
20 Sn 0.681 0.034 0.903
21 Sn 0.681 0.466 0.903
22 Sn 0.819 0.534 0.403
23 Sn 0.819 0.966 0.403
24 Sn 0.825 0.250 0.363
25 Ru 0.099 0.614 0.354
26 Ru 0.099 0.886 0.354
27 Ru 0.401 0.114 0.854
28 Ru 0.401 0.386 0.854
29 Ru 0.599 0.614 0.146
30 Ru 0.599 0.886 0.146
31 Ru 0.901 0.114 0.646
32 Ru 0.901 0.386 0.646



12.
A plane-wave DFT calculation with PBE was carried out for crystalline Tm5SnRu4 at its relaxed geometry.

Results
As for the calculated total energy: -6.846 eV per atom. Its magnetic moment is 0.00 μB per formula unit. Its space group is P4/mmm, No. 123.

a b c (Å): 3.384 3.384 17.711
angles (deg): 90.00 90.00 90.00
Sites, in units of the cell vectors:
1 Tm 0.000 0.000 0.000
2 Tm 0.000 0.000 0.187
3 Tm 0.000 0.000 0.373
4 Tm 0.000 0.000 0.627
5 Tm 0.000 0.000 0.813
6 Sn 0.500 0.500 0.500
7 Ru 0.500 0.500 0.095
8 Ru 0.500 0.500 0.286
9 Ru 0.500 0.500 0.714
10 Ru 0.500 0.500 0.905



13.
A plane-wave DFT calculation with PBE was carried out for crystalline Tm2Sn2Ru3 at its relaxed geometry.

Results
As for the calculated total energy: -6.581 eV per atom. Its magnetic moment is 0.00 μB per formula unit. Its space group is I2_13, No. 199.

a b c (Å): 7.120 7.120 7.120
angles (deg): 109.47 109.47 109.47
Sites, in units of the cell vectors:
1 Tm 0.000 0.632 0.500
2 Tm 0.500 0.000 0.632
3 Tm 0.632 0.500 0.000
4 Tm 0.868 0.868 0.868
5 Sn 0.000 0.064 0.500
6 Sn 0.064 0.500 0.000
7 Sn 0.436 0.436 0.436
8 Sn 0.500 0.000 0.064
9 Ru 0.209 0.959 0.250
10 Ru 0.250 0.209 0.959
11 Ru 0.291 0.541 0.750
12 Ru 0.541 0.750 0.291
13 Ru 0.750 0.291 0.541
14 Ru 0.959 0.250 0.209



14.
A plane-wave DFT calculation with PBE was carried out for crystalline USnRu2 at its relaxed geometry.

Results
As for the calculated total energy: -8.503 eV per atom. Its magnetic moment is 0.00 μB per formula unit. Its space group is R3m, No. 160.

a b c (Å): 7.203 7.203 7.203
angles (deg): 29.11 29.11 29.11
Sites, in units of the cell vectors:
1 U 0.000 0.000 0.000
2 Sn 0.832 0.832 0.832
3 Ru 0.411 0.411 0.411
4 Ru 0.587 0.587 0.587



15.
A plane-wave DFT calculation with PBE was carried out for crystalline U2SnRu at its relaxed geometry.

Results
The value obtained for the energy relative to the lowest polymorph listed for this composition is 90.1 meV/atom. Its magnetic moment is 2.19 μB per formula unit. Its space group is R-3m, No. 166.

a b c (Å): 10.203 10.203 10.203
angles (deg): 17.38 17.38 17.38
Sites, in units of the cell vectors:
1 U 0.241 0.241 0.241
2 U 0.759 0.759 0.759
3 Sn 0.000 0.000 0.000
4 Ru 0.500 0.500 0.500



16.
A plane-wave DFT calculation with PBE was carried out for crystalline U2SnRu at its relaxed geometry.

Results
The value obtained for the energy relative to the lowest polymorph listed for this composition is 16.2 meV/atom. Its magnetic moment is 4.24 μB per formula unit. Its space group is P6_3/mmc, No. 194.

a b c (Å): 4.652 4.652 9.003
angles (deg): 90.00 90.00 120.00
Sites, in units of the cell vectors:
1 U 0.333 0.667 0.060
2 U 0.333 0.667 0.440
3 U 0.667 0.333 0.560
4 U 0.667 0.333 0.940
5 Sn 0.000 0.000 0.250
6 Sn 0.000 0.000 0.750
7 Ru 0.333 0.667 0.750
8 Ru 0.667 0.333 0.250



17.
A plane-wave DFT calculation with PBE was carried out for crystalline USn2Ru at its relaxed geometry.

Results
As for the calculated total energy: -6.866 eV per atom. Its magnetic moment is 2.61 μB per formula unit. Its space group is R-3m, No. 166.

a b c (Å): 10.671 10.671 10.671
angles (deg): 16.82 16.82 16.82
Sites, in units of the cell vectors:
1 U 0.000 0.000 0.000
2 Sn 0.101 0.101 0.101
3 Sn 0.899 0.899 0.899
4 Ru 0.500 0.500 0.500



18.
A plane-wave DFT calculation with PBE was carried out for crystalline USn2Ru2 at its relaxed geometry.

Results
As for the calculated total energy: -7.795 eV per atom. Its magnetic moment is 0.00 μB per formula unit. Its space group is P2_1/c, No. 14.

a b c (Å): 9.866 6.332 6.749
angles (deg): 90.00 95.89 90.00
Sites, in units of the cell vectors:
1 U 0.153 0.157 0.481
2 U 0.153 0.343 0.981
3 U 0.847 0.657 0.019
4 U 0.847 0.843 0.519
5 Sn 0.217 0.638 0.608
6 Sn 0.217 0.862 0.108
7 Sn 0.489 0.236 0.492
8 Sn 0.489 0.264 0.992
9 Sn 0.511 0.736 0.008
10 Sn 0.511 0.764 0.508
11 Sn 0.783 0.138 0.892
12 Sn 0.783 0.362 0.392
13 Ru 0.017 0.592 0.284
14 Ru 0.017 0.908 0.784
15 Ru 0.310 0.022 0.735
16 Ru 0.310 0.478 0.235
17 Ru 0.690 0.522 0.765
18 Ru 0.690 0.978 0.265
19 Ru 0.983 0.092 0.216
20 Ru 0.983 0.408 0.716



19.
A plane-wave DFT calculation with PBE was carried out for crystalline U2SnRu at its relaxed geometry.

Results
The value obtained for the energy relative to the lowest polymorph listed for this composition is 0.0 meV/atom. Its magnetic moment is 1.25 μB per formula unit. Its space group is P4/mmm, No. 123.

a b c (Å): 3.788 3.788 5.970
angles (deg): 90.00 90.00 90.00
Sites, in units of the cell vectors:
1 U 0.000 0.000 0.209
2 U 0.000 0.000 0.791
3 Sn 0.500 0.500 0.500
4 Ru 0.500 0.500 0.000



20.
A plane-wave DFT calculation with PBE was carried out for crystalline U2SnRu3 at its relaxed geometry.

Results
As for the calculated total energy: -9.055 eV per atom. Its magnetic moment is 2.62 μB per formula unit. Its space group is Fd-3m, No. 227.

a b c (Å): 8.931 8.931 8.931
angles (deg): 60.00 60.00 60.00
Sites, in units of the cell vectors:
1 U 0.168 0.777 0.777
2 U 0.223 0.223 0.223
3 U 0.223 0.223 0.832
4 U 0.223 0.832 0.223
5 U 0.777 0.168 0.777
6 U 0.777 0.777 0.168
7 U 0.777 0.777 0.777
8 U 0.832 0.223 0.223
9 Sn 0.000 0.500 0.500
10 Sn 0.500 0.000 0.500
11 Sn 0.500 0.500 0.000
12 Sn 0.500 0.500 0.500
13 Ru 0.121 0.121 0.629
14 Ru 0.121 0.629 0.121
15 Ru 0.121 0.629 0.629
16 Ru 0.371 0.371 0.879
17 Ru 0.371 0.879 0.371
18 Ru 0.371 0.879 0.879
19 Ru 0.629 0.121 0.121
20 Ru 0.629 0.121 0.629
21 Ru 0.629 0.629 0.121
22 Ru 0.879 0.371 0.371
23 Ru 0.879 0.371 0.879
24 Ru 0.879 0.879 0.371